The following is a DFT calculation (SCAN) of SrAlBO4 at its PBEsol-relaxed geometry.

For the uncorrected formation energy, the calculation gives -3101 meV per atom.

It has space group Pccn (No. 56), with a = 8.8818 Å, b = 14.2040 Å, c = 5.7979 Å, α = 90.00°, β = 90.00° and γ = 90.00°. The asymmetric unit holds Sr at (0.0823, 0.1508, 0.2096), Al at (0.2097, 0.5713, 0.6232), B at (0.0974, 0.0877, 0.7146), O at (0.0269, 0.5379, 0.7182), O at (0.1169, 0.1808, 0.7686), O at (0.1944, 0.6251, 0.3517) and O at (0.2086, 0.0439, 0.5816).

***

The following is a DFT calculation (SCAN) of SrAl2B2O7 at its PBEsol-relaxed geometry.

For the uncorrected formation energy, the calculation gives -3105 meV per atom.

It has space group R32 (No. 155, hexagonal axes), with a = 4.9098 Å, b = 4.9098 Å, c = 24.0931 Å, α = 90.00°, β = 90.00° and γ = 120.00°. The asymmetric unit holds Sr at (0.0000, 0.0000, 0.0000), Al at (0.0000, 0.0000, 0.4301), B at (0.0000, 0.0000, 0.2656), O at (0.0000, 0.0000, 0.5000) and O at (0.0294, 0.6108, 0.9346).

***

The following is a DFT calculation (SCAN) of AlBOs3 at its PBEsol-relaxed geometry.

The formation energy comes out at 2.5919 eV per atom.

It has space group Pm-3m (No. 221), with a = 4.3405 Å, b = 4.3405 Å, c = 4.3405 Å, α = 90.00°, β = 90.00° and γ = 90.00°. The asymmetric unit holds Al at (0.0000, 0.0000, 0.0000), B at (0.5000, 0.5000, 0.5000) and Os at (0.0000, 0.0000, 0.5000).

***

The following is a DFT calculation (SCAN) of Al2BOsPd at its PBEsol-relaxed geometry.

The formation energy comes out at 1.6653 eV per atom.

It has space group P4/mmm (No. 123), with a = 4.4825 Å, b = 4.4825 Å, c = 4.9177 Å, α = 90.00°, β = 90.00° and γ = 90.00°. The asymmetric unit holds Al at (0.0000, 0.5000, 0.0000), B at (0.0000, 0.0000, 0.5000), Os at (0.5000, 0.5000, 0.5000) and Pd at (0.5000, 0.5000, 0.0000).

***

The following is a DFT calculation (SCAN) of Al2BOsRh at its PBEsol-relaxed geometry.

The formation energy comes out at -0.0362 eV per atom.

It has space group P4/mmm (No. 123), with a = 4.1105 Å, b = 4.1105 Å, c = 3.8915 Å, α = 90.00°, β = 90.00° and γ = 90.00°. The asymmetric unit holds Al at (0.0000, 0.5000, 0.0000), B at (0.0000, 0.0000, 0.0000), Os at (0.0000, 0.0000, 0.5000) and Rh at (0.5000, 0.5000, 0.5000).

***

The following is a DFT calculation (SCAN) of AlBP3 at its PBEsol-relaxed geometry.

The formation energy comes out at 0.8383 eV per atom.

It has space group Pm-3m (No. 221), with a = 4.0937 Å, b = 4.0937 Å, c = 4.0937 Å, α = 90.00°, β = 90.00° and γ = 90.00°. The asymmetric unit holds Al at (0.0000, 0.0000, 0.0000), B at (0.5000, 0.5000, 0.5000) and P at (0.0000, 0.5000, 0.5000).

***

The following is a DFT calculation (SCAN) of AlBP2 at its PBEsol-relaxed geometry.

The formation energy comes out at -0.4565 eV per atom.

It has space group I-42d (No. 122), with a = 5.0791 Å, b = 5.0791 Å, c = 9.6273 Å, α = 90.00°, β = 90.00° and γ = 90.00°. The asymmetric unit holds Al at (0.0000, 0.0000, 0.0000), B at (0.0000, 0.0000, 0.5000) and P at (0.1900, 0.2500, 0.6250).

***

The following is a DFT calculation (SCAN) of AlB2Pb at its PBEsol-relaxed geometry.

The formation energy comes out at 1.5780 eV per atom.

It has space group Fm-3m (No. 225), with a = 6.1953 Å, b = 6.1953 Å, c = 6.1953 Å, α = 90.00°, β = 90.00° and γ = 90.00°. The asymmetric unit holds Al at (0.0000, 0.0000, 0.0000), B at (0.2500, 0.2500, 0.2500) and Pb at (0.0000, 0.0000, 0.5000).

***

The following is a DFT calculation (SCAN) of Sc2AlBPb at its PBEsol-relaxed geometry.

The formation energy comes out at 0.3936 eV per atom.

It has space group P4/mmm (No. 123), with a = 5.2218 Å, b = 5.2218 Å, c = 3.8932 Å, α = 90.00°, β = 90.00° and γ = 90.00°. The asymmetric unit holds Sc at (0.0000, 0.5000, 0.0000), Al at (0.0000, 0.0000, 0.0000), B at (0.0000, 0.0000, 0.5000) and Pb at (0.5000, 0.5000, 0.5000).

***

The following is a DFT calculation (SCAN) of AlB3Pd at its PBEsol-relaxed geometry.

The formation energy comes out at 1.8344 eV per atom. The excess energy over the best structure of this formula in the dataset is 2.18 eV per formula unit.

It has space group Pm-3m (No. 221), with a = 4.0460 Å, b = 4.0460 Å, c = 4.0460 Å, α = 90.00°, β = 90.00° and γ = 90.00°. The asymmetric unit holds Al at (0.0000, 0.0000, 0.0000), B at (0.0000, 0.0000, 0.5000) and Pd at (0.5000, 0.5000, 0.5000).

***

The following is a DFT calculation (SCAN) of AlB3Pd at its PBEsol-relaxed geometry.

The formation energy comes out at 1.3990 eV per atom. The excess energy over the best structure of this formula in the dataset is 0.00 eV per formula unit.

It has space group Pm-3m (No. 221), with a = 4.0730 Å, b = 4.0730 Å, c = 4.0730 Å, α = 90.00°, β = 90.00° and γ = 90.00°. The asymmetric unit holds Al at (0.0000, 0.0000, 0.0000), B at (0.0000, 0.5000, 0.5000) and Pd at (0.5000, 0.5000, 0.5000).

***

The following is a DFT calculation (SCAN) of Al2BPt at its PBEsol-relaxed geometry.

The formation energy comes out at 0.0933 eV per atom.

It has space group I-42d (No. 122), with a = 4.1157 Å, b = 4.1157 Å, c = 14.3178 Å, α = 90.00°, β = 90.00° and γ = 90.00°. The asymmetric unit holds Al at (0.2023, 0.2500, 0.1250), B at (0.0000, 0.0000, 0.0000) and Pt at (0.0000, 0.0000, 0.5000).

***

The following is a DFT calculation (SCAN) of AlB2Pt2 at its PBEsol-relaxed geometry.

The formation energy comes out at -0.4139 eV per atom.

It has space group I4/mmm (No. 139), with a = 3.1901 Å, b = 3.1901 Å, c = 11.7209 Å, α = 90.00°, β = 90.00° and γ = 90.00°. The asymmetric unit holds Al at (0.0000, 0.0000, 0.0000), B at (0.0000, 0.5000, 0.2500) and Pt at (0.0000, 0.0000, 0.3748).

***

The following is a DFT calculation (SCAN) of RbAl3B at its PBEsol-relaxed geometry.

The formation energy comes out at 2.7633 eV per atom.

It has space group Pm-3m (No. 221), with a = 5.7512 Å, b = 5.7512 Å, c = 5.7512 Å, α = 90.00°, β = 90.00° and γ = 90.00°. The asymmetric unit holds Rb at (0.0000, 0.0000, 0.0000), Al at (0.0000, 0.0000, 0.5000) and B at (0.5000, 0.5000, 0.5000).

***

The following is a DFT calculation (SCAN) of Rb2AlB at its PBEsol-relaxed geometry.

The formation energy comes out at 0.4595 eV per atom.

It has space group I-42d (No. 122), with a = 12.8893 Å, b = 12.8893 Å, c = 4.0340 Å, α = 90.00°, β = 90.00° and γ = 90.00°. The asymmetric unit holds Rb at (0.0419, 0.2500, 0.1250), Al at (0.0000, 0.0000, 0.5000) and B at (0.0000, 0.0000, 0.0000).

***

The following is a DFT calculation (SCAN) of AlB2Ru2 at its PBEsol-relaxed geometry.

The formation energy comes out at -0.4788 eV per atom.

It has space group I4/mmm (No. 139), with a = 2.8764 Å, b = 2.8764 Å, c = 12.7889 Å, α = 90.00°, β = 90.00° and γ = 90.00°. The asymmetric unit holds Al at (0.0000, 0.0000, 0.0000), B at (0.0000, 0.5000, 0.2500) and Ru at (0.0000, 0.0000, 0.3774).

***

The following is a DFT calculation (SCAN) of Al3B2Ru4 at its PBEsol-relaxed geometry.

The formation energy comes out at -0.7397 eV per atom.

It has space group P4/mmm (No. 123), with a = 8.4730 Å, b = 8.4730 Å, c = 2.9104 Å, α = 90.00°, β = 90.00° and γ = 90.00°. The asymmetric unit holds Al at (0.0000, 0.0000, 0.0000), Al at (0.0000, 0.3471, 0.0000), Al at (0.5000, 0.5000, 0.0000), B at (0.3065, 0.3065, 0.0000), Ru at (0.1761, 0.1761, 0.5000) and Ru at (0.2438, 0.5000, 0.5000).

***

The following is a DFT calculation (SCAN) of AlBSb2 at its PBEsol-relaxed geometry.

For the uncorrected formation energy, the calculation gives 1009 meV per atom.

It has space group Fm-3m (No. 225), with a = 6.7387 Å, b = 6.7387 Å, c = 6.7387 Å, α = 90.00°, β = 90.00° and γ = 90.00°. The asymmetric unit holds Al at (0.0000, 0.0000, 0.0000), B at (0.0000, 0.0000, 0.5000) and Sb at (0.2500, 0.2500, 0.2500).

***

The following is a DFT calculation (SCAN) of ScAlB3 at its PBEsol-relaxed geometry.

The formation energy comes out at 1.0454 eV per atom.

It has space group Pm-3m (No. 221), with a = 4.0112 Å, b = 4.0112 Å, c = 4.0112 Å, α = 90.00°, β = 90.00° and γ = 90.00°. The asymmetric unit holds Sc at (0.0000, 0.0000, 0.0000), Al at (0.5000, 0.5000, 0.5000) and B at (0.0000, 0.5000, 0.5000).

***

The following is a DFT calculation (SCAN) of AlBSe3 at its PBEsol-relaxed geometry.

For the uncorrected formation energy, the calculation gives 620 meV per atom.

It has space group Pm-3m (No. 221), with a = 4.4323 Å, b = 4.4323 Å, c = 4.4323 Å, α = 90.00°, β = 90.00° and γ = 90.00°. The asymmetric unit holds Al at (0.0000, 0.0000, 0.0000), B at (0.5000, 0.5000, 0.5000) and Se at (0.0000, 0.5000, 0.5000).